The following is a PBE calculation of a relaxed LiAl2Pt2 crystal, from Alexandria.

Values from the calculation:
Formation energy from the elements: -953 meV/atom
Uncorrected energy: -5.249 eV/atom
Energy above the most stable polymorph in this dataset: 3 meV/atom

Cell lengths 7.4508, 7.4508, 2.7911 Å; angles 90.00, 90.00, 90.00 degrees
Space group P4/mbm (No. 127)
Symmetry-distinct sites (fractional):
Li1 0.0000 0.0000 0.0000 [2 per cell]
Al1 0.1387 0.3613 0.0000 [4 per cell]
Pt1 0.1586 0.6586 0.5000 [4 per cell]

The following is a PBE calculation of a relaxed LiAlPt2 crystal, from Alexandria.

Values from the calculation:
Formation energy from the elements: -817 meV/atom
Uncorrected energy: -5.251 eV/atom

Cell lengths 9.3470, 2.8656, 4.4165 Å; angles 90.00, 105.92, 90.00 degrees
Space group Cm (No. 8)
Symmetry-distinct sites (fractional):
Li1 0.0000 0.0000 0.0000 [2 per cell]
Al1 0.2661 0.5000 0.3906 [2 per cell]
Pt1 0.0029 0.5000 0.4945 [2 per cell]
Pt2 0.2559 0.0000 0.8938 [2 per cell]

The following is a PBE calculation of a relaxed Li2AlPt crystal, from Alexandria.

Values from the calculation:
Formation energy from the elements: -595 meV/atom
Uncorrected energy: -3.998 eV/atom

Cell lengths 3.6598, 3.6598, 4.3186 Å; angles 90.00, 90.00, 90.00 degrees
Space group P4/mmm (No. 123)
Symmetry-distinct sites (fractional):
Li1 0.0000 0.5000 0.0000 [2 per cell]
Al1 0.0000 0.0000 0.5000 [1 per cell]
Pt1 0.5000 0.5000 0.5000 [1 per cell]

The following is a PBE calculation of a relaxed Li2AlPt2 crystal, from Alexandria.

Values from the calculation:
Formation energy from the elements: -649 meV/atom
Uncorrected energy: -4.579 eV/atom
Energy above the most stable polymorph in this dataset: 0 meV/atom

Cell lengths 6.3382, 6.3382, 4.0003 Å; angles 90.00, 90.00, 90.00 degrees
Space group P4/mbm (No. 127)
Symmetry-distinct sites (fractional):
Li1 0.1570 0.3430 0.0000 [4 per cell]
Al1 0.0000 0.0000 0.5000 [2 per cell]
Pt1 0.1455 0.6455 0.5000 [4 per cell]

The following is a PBE calculation of a relaxed Li2Al2Pt crystal, from Alexandria.

Values from the calculation:
Formation energy from the elements: -368 meV/atom
Uncorrected energy: -3.838 eV/atom

Cell lengths 6.4080, 6.4080, 4.2736 Å; angles 90.00, 90.00, 90.00 degrees
Space group P4/mbm (No. 127)
Symmetry-distinct sites (fractional):
Li1 0.1683 0.3317 0.0000 [4 per cell]
Al1 0.1455 0.6455 0.5000 [4 per cell]
Pt1 0.0000 0.0000 0.5000 [2 per cell]

The following is a PBE calculation of a relaxed Li2AlPt crystal, from Alexandria.

Values from the calculation:
Formation energy from the elements: -596 meV/atom
Uncorrected energy: -3.998 eV/atom

Cell lengths 10.1519, 2.8819, 4.3036 Å; angles 90.00, 114.57, 90.00 degrees
Space group C2/m (No. 12)
Symmetry-distinct sites (fractional):
Li1 0.2393 0.0000 0.2392 [4 per cell]
Al1 0.0000 0.0000 0.5000 [2 per cell]
Pt1 0.0000 0.5000 0.0000 [2 per cell]

The following is a PBE calculation of a relaxed LiAlPt4 crystal, from Alexandria.

Values from the calculation:
Formation energy from the elements: -315 meV/atom
Uncorrected energy: -5.285 eV/atom
Energy above the most stable polymorph in this dataset: 132 meV/atom

Cell lengths 7.4451, 7.4451, 7.4451 Å; angles 90.00, 90.00, 90.00 degrees
Space group F-43m (No. 216)
Symmetry-distinct sites (fractional):
Li1 0.0000 0.0000 0.0000 [4 per cell]
Al1 0.2500 0.2500 0.2500 [4 per cell]
Pt1 0.1250 0.1250 0.6250 [16 per cell]

The following is a PBE calculation of a relaxed LiAl5Pt6 crystal, from Alexandria.

Values from the calculation:
Formation energy from the elements: -968 meV/atom
Uncorrected energy: -5.708 eV/atom

Cell lengths 7.6428, 12.8233, 4.2820 Å; angles 90.00, 124.08, 90.00 degrees
Space group C2/m (No. 12)
Symmetry-distinct sites (fractional):
Li1 0.0000 0.0000 0.0000 [2 per cell]
Al1 0.0000 0.1600 0.5000 [4 per cell]
Al2 0.0000 0.3321 0.0000 [4 per cell]
Al3 0.0000 0.5000 0.5000 [2 per cell]
Pt1 0.2408 0.5000 0.2422 [4 per cell]
Pt2 0.2446 0.3303 0.7453 [8 per cell]

The following is a PBE calculation of a relaxed Li2AlPt crystal, from Alexandria.

Values from the calculation:
Formation energy from the elements: -395 meV/atom
Uncorrected energy: -3.798 eV/atom

Cell lengths 3.6273, 3.6273, 19.1468 Å; angles 90.00, 90.00, 90.00 degrees
Space group I-42d (No. 122)
Symmetry-distinct sites (fractional):
Li1 0.2311 0.2500 0.1250 [8 per cell]
Al1 0.0000 0.0000 0.5000 [4 per cell]
Pt1 0.0000 0.0000 0.0000 [4 per cell]

The following is a PBE calculation of a relaxed Li2AlPt crystal, from Alexandria.

Values from the calculation:
Formation energy from the elements: -469 meV/atom
Uncorrected energy: -3.871 eV/atom

Cell lengths 5.0682, 8.2755, 2.8012 Å; angles 90.00, 90.00, 90.00 degrees
Space group Cmmm (No. 65)
Symmetry-distinct sites (fractional):
Li1 0.2500 0.2500 0.0000 [4 per cell]
Al1 0.0000 0.0000 0.5000 [2 per cell]
Pt1 0.0000 0.5000 0.5000 [2 per cell]

The following is a PBE calculation of a relaxed Li2AlPt crystal, from Alexandria.

Values from the calculation:
Formation energy from the elements: -557 meV/atom
Uncorrected energy: -3.960 eV/atom

Cell lengths 2.8036, 3.7656, 5.6682 Å; angles 90.00, 90.00, 90.00 degrees
Space group Pmm2 (No. 25)
Symmetry-distinct sites (fractional):
Li1 0.0000 0.0000 0.0000 [1 per cell]
Li2 0.5000 0.5000 0.2497 [1 per cell]
Al1 0.5000 0.5000 0.7073 [1 per cell]
Pt1 0.0000 0.0000 0.5101 [1 per cell]

The following is a PBE calculation of a relaxed LiAlPt4 crystal, from Alexandria.

Values from the calculation:
Formation energy from the elements: -446 meV/atom
Uncorrected energy: -5.416 eV/atom
Energy above the most stable polymorph in this dataset: 0 meV/atom

Cell lengths 4.0298, 4.0298, 5.7984 Å; angles 90.00, 90.00, 90.00 degrees
Space group P4/mmm (No. 123)
Symmetry-distinct sites (fractional):
Li1 0.0000 0.0000 0.0000 [1 per cell]
Al1 0.5000 0.5000 0.5000 [1 per cell]
Pt1 0.0000 0.5000 0.2438 [4 per cell]

The following is a PBE calculation of a relaxed Li2AlPt crystal, from Alexandria.

Values from the calculation:
Formation energy from the elements: -315 meV/atom
Uncorrected energy: -3.717 eV/atom

Cell lengths 2.9943, 4.5703, 8.8905 Å; angles 90.00, 90.00, 90.00 degrees
Space group Cmmm (No. 65)
Symmetry-distinct sites (fractional):
Li1 0.0000 0.0000 0.2322 [4 per cell]
Al1 0.0000 0.5000 0.5000 [2 per cell]
Pt1 0.0000 0.5000 0.0000 [2 per cell]

The following is a PBE calculation of a relaxed LiAl3Pt4 crystal, from Alexandria.

Values from the calculation:
Formation energy from the elements: -981 meV/atom
Uncorrected energy: -5.644 eV/atom

Cell lengths 4.0378, 4.0378, 14.0042 Å; angles 90.00, 90.00, 90.00 degrees
Space group I4/mmm (No. 139)
Symmetry-distinct sites (fractional):
Li1 0.0000 0.0000 0.0000 [2 per cell]
Al1 0.0000 0.0000 0.2468 [4 per cell]
Al2 0.0000 0.0000 0.5000 [2 per cell]
Pt1 0.0000 0.5000 0.1274 [8 per cell]

The following is a PBE calculation of a relaxed Li3Al4Pt2 crystal, from Alexandria.

Values from the calculation:
Formation energy from the elements: -752 meV/atom
Uncorrected energy: -4.396 eV/atom

Cell lengths 4.3094, 4.3094, 7.9982 Å; angles 90.00, 90.00, 120.00 degrees
Space group P-3m1 (No. 164)
Symmetry-distinct sites (fractional):
Li1 0.0000 0.0000 0.0000 [1 per cell]
Li2 0.3333 0.6667 0.4531 [2 per cell]
Al1 0.0000 0.0000 0.3213 [2 per cell]
Al2 0.3333 0.6667 0.1177 [2 per cell]
Pt1 0.3333 0.6667 0.7878 [2 per cell]

The following is a PBE calculation of a relaxed Li4AlPt crystal, from Alexandria.

Values from the calculation:
Formation energy from the elements: -423 meV/atom
Uncorrected energy: -3.329 eV/atom
Energy above the most stable polymorph in this dataset: 0 meV/atom

Cell lengths 7.6575, 4.4221, 5.1257 Å; angles 90.00, 90.15, 90.00 degrees
Space group C2/m (No. 12)
Symmetry-distinct sites (fractional):
Li1 0.1661 0.0000 0.2338 [4 per cell]
Li2 0.1671 0.0000 0.7646 [4 per cell]
Al1 0.0000 0.5000 0.5000 [2 per cell]
Pt1 0.0000 0.5000 0.0000 [2 per cell]

The following is a PBE calculation of a relaxed Li2AlPt crystal, from Alexandria.

Values from the calculation:
Formation energy from the elements: -484 meV/atom
Uncorrected energy: -3.887 eV/atom

Cell lengths 2.8022, 4.0684, 5.1329 Å; angles 90.00, 90.00, 90.00 degrees
Space group Pmmm (No. 47)
Symmetry-distinct sites (fractional):
Li1 0.0000 0.0000 0.2314 [2 per cell]
Al1 0.5000 0.5000 0.5000 [1 per cell]
Pt1 0.5000 0.5000 0.0000 [1 per cell]

The following is a PBE calculation of a relaxed LiAl2Pt3 crystal, from Alexandria.

Values from the calculation:
Formation energy from the elements: -960 meV/atom
Uncorrected energy: -5.547 eV/atom
Energy above the most stable polymorph in this dataset: 0 meV/atom

Cell lengths 4.0695, 12.2105, 6.8613 Å; angles 90.00, 90.00, 90.00 degrees
Space group Cmmm (No. 65)
Symmetry-distinct sites (fractional):
Li1 0.0000 0.1699 0.0000 [4 per cell]
Al1 0.0000 0.1653 0.5000 [4 per cell]
Al2 0.0000 0.5000 0.0000 [2 per cell]
Al3 0.0000 0.5000 0.5000 [2 per cell]
Pt1 0.0000 0.0000 0.2512 [4 per cell]
Pt2 0.0000 0.3342 0.2599 [8 per cell]

The following is a PBE calculation of a relaxed LiAl2Pt2 crystal, from Alexandria.

Values from the calculation:
Formation energy from the elements: -956 meV/atom
Uncorrected energy: -5.253 eV/atom
Energy above the most stable polymorph in this dataset: 0 meV/atom

Cell lengths 7.4437, 7.4437, 2.8072 Å; angles 90.00, 90.00, 90.00 degrees
Space group P4/mbm (No. 127)
Symmetry-distinct sites (fractional):
Li1 0.0000 0.0000 0.0000 [2 per cell]
Al1 0.1478 0.3522 0.5000 [4 per cell]
Pt1 0.1498 0.6498 0.0000 [4 per cell]

The following is a PBE calculation of a relaxed LiAlPt2 crystal, from Alexandria.

Values from the calculation:
Formation energy from the elements: -755 meV/atom
Uncorrected energy: -5.189 eV/atom

Cell lengths 2.8843, 4.2596, 9.5418 Å; angles 90.00, 90.00, 90.00 degrees
Space group Imm2 (No. 44)
Symmetry-distinct sites (fractional):
Li1 0.0000 0.0000 0.0000 [2 per cell]
Al1 0.0000 0.5000 0.7764 [2 per cell]
Pt1 0.0000 0.0000 0.4928 [2 per cell]
Pt2 0.0000 0.5000 0.2475 [2 per cell]